Compound: B2Ru2Pt
Source: the Alexandria database
Functional: GGA-PBE
Structure: relaxed

Results
Symmetry: No. 127
Offset from the most stable computed form, kJ/mol of formula units: 0
Crystal system: tetragonal
DOS(E_F), states/eV/atom: 0.763
E, eV per atom: -7.567

Cell lengths 6.2603, 6.2603, 2.8252 Å; angles 90.00, 90.00, 90.00 degrees
Element x y z (fractional)
Ru: 0.1528 0.6528 0.5000
Ru: 0.6528 0.8472 0.5000
Ru: 0.8472 0.3472 0.5000
Ru: 0.3472 0.1528 0.5000
B: 0.3602 0.8602 0.0000
B: 0.8602 0.6398 0.0000
B: 0.6398 0.1398 0.0000
B: 0.1398 0.3602 0.0000
Pt: 0.0000 0.0000 0.0000
Pt: 0.5000 0.5000 0.0000